# 1
A plane-wave DFT calculation with PBE-GGA was carried out for a geometry-optimized Li7Pd2Pb3 structure.

Cell lengths 4.504, 3.522, 14.376 Å; angles 90.00, 98.92, 90.00 degrees
Space group P2/m (No. 10)
Asymmetric unit:
1 Li 0.000 0.000 0.000 x1
2 Li 0.084 0.500 0.169 x2
3 Li 0.271 0.500 0.542 x2
4 Li 0.422 0.000 0.843 x2
5 Pd 0.357 0.500 0.715 x2
6 Pb 0.173 0.000 0.346 x2
7 Pb 0.500 0.500 0.000 x1

Summary:
- raw total energy (eV per atom) = -3.17
- size of the total moment (μB/f.u.) = 0.000
- formation enthalpy at 0 K (eV per atom) = -0.2614

# 2
A plane-wave DFT calculation with PBE-GGA was carried out for a geometry-optimized La6Ni2PdCl3 structure.

Cell lengths 19.496, 4.102, 8.959 Å; angles 90.00, 107.82, 90.00 degrees
Space group C2/m (No. 12)
Asymmetric unit:
1 La 0.010 0.000 0.235 x4
2 La 0.162 0.500 0.118 x4
3 La 0.176 0.500 0.556 x4
4 Ni 0.166 0.000 0.335 x4
5 Pd 0.000 0.500 0.000 x2
6 Cl 0.000 0.500 0.500 x2
7 Cl 0.168 0.000 0.834 x4

Summary:
- raw total energy (eV per atom) = -5.36
- size of the total moment (μB/f.u.) = 0.000

# 3
A plane-wave DFT calculation with PBE-GGA was carried out for a geometry-optimized Cu2NiW structure.

Cell lengths 2.642, 2.642, 7.328 Å; angles 90.00, 90.00, 90.00 degrees
Space group P4/mmm (No. 123)
Asymmetric unit:
1 Cu 0.000 0.000 0.228 x2
2 Ni 0.500 0.500 0.000 x1
3 W 0.500 0.500 0.500 x1

Summary:
- raw total energy (eV per atom) = -6.51
- size of the total moment (μB/f.u.) = 0.245
- formation enthalpy at 0 K (eV per atom) = 0.2202

# 4
A plane-wave DFT calculation with PBE-GGA was carried out for a geometry-optimized Fe2NiRh structure.

Cell lengths 2.639, 3.580, 5.244 Å; angles 90.00, 90.00, 90.00 degrees
Space group Pmmm (No. 47)
Asymmetric unit:
1 Fe 0.000 0.000 0.239 x2
2 Ni 0.500 0.500 0.000 x1
3 Rh 0.500 0.500 0.500 x1

Summary:
- raw total energy (eV per atom) = -7.53
- size of the total moment (μB/f.u.) = 6.502
- formation enthalpy at 0 K (eV per atom) = -0.0176

# 5
A plane-wave DFT calculation with PBE-GGA was carried out for a geometry-optimized LaMo2Br structure.

Cell lengths 7.447, 4.017, 7.999 Å; angles 90.00, 114.90, 90.00 degrees
Space group Cm (No. 8)
Asymmetric unit:
1 La 0.000 0.000 0.000 x2
2 Mo 0.006 0.500 0.653 x2
3 Mo 0.207 0.000 0.721 x2
4 Br 0.311 0.500 0.291 x2

Summary:
- raw total energy (eV per atom) = -6.89
- size of the total moment (μB/f.u.) = 0.000

# 6
A plane-wave DFT calculation with PBE-GGA was carried out for a geometry-optimized AcPm10Y4 structure.

Cell lengths 12.832, 12.832, 6.902 Å; angles 90.00, 90.00, 90.00 degrees
Space group I4/m (No. 87)
Asymmetric unit:
1 Ac 0.000 0.000 0.000 x2
2 Pm 0.000 0.500 0.250 x4
3 Pm 0.129 0.709 0.248 x16
4 Y 0.067 0.180 0.500 x8

Summary:
- raw total energy (eV per atom) = -4.68
- size of the total moment (μB/f.u.) = 0.000
- formation enthalpy at 0 K (eV per atom) = 0.4881

# 7
A plane-wave DFT calculation with PBE-GGA was carried out for a geometry-optimized AcAsHPd6 structure.

Cell lengths 7.614, 7.765, 11.062 Å; angles 90.00, 90.00, 90.00 degrees
Space group Imma (No. 74)
Asymmetric unit:
1 Ac 0.000 0.250 0.175 x4
2 As 0.250 0.250 0.750 x4
3 H 0.000 0.000 0.500 x4
4 Pd 0.000 0.250 0.484 x4
5 Pd 0.000 0.250 0.887 x4
6 Pd 0.195 0.004 0.625 x16

Summary:
- raw total energy (eV per atom) = -5.18
- size of the total moment (μB/f.u.) = 0.000

# 8
A plane-wave DFT calculation with PBE-GGA was carried out for a geometry-optimized Pb3Se2I2 structure.

Cell lengths 4.435, 7.635, 8.314 Å; angles 98.80, 90.07, 106.88 degrees
Space group P-1 (No. 2)
Asymmetric unit:
1 Pb 0.000 0.000 0.000 x1
2 Pb 0.242 0.486 0.780 x2
3 Se 0.369 0.737 0.089 x2
4 I 0.120 0.239 0.367 x2

Summary:
- raw total energy (eV per atom) = -3.61
- size of the total moment (μB/f.u.) = 0.000